Material: Tm6CoCu
Method: DFT, GGA-PBE
State: optimized geometry

excess energy over the best structure of this formula in the dataset	75.3	meV per atom
total energy	-4.77	eV/atom

a = 6.537 Å, b = 10.896 Å, c = 6.496 Å
α = 90.00°, β = 110.31°, γ = 90.00°
Space group C2/m (No. 12)
Unique sites:
Tm  0.237  0.176  0.243 x8
Tm  0.244  0.000  0.761 x4
Co  0.000  0.000  0.000 x2
Cu  0.000  0.500  0.500 x2

Material: Tm2Co15Cu2
Method: DFT, GGA-PBE
State: optimized geometry

total energy	-6.59	eV/atom

a = 8.3262 Å, b = 8.3262 Å, c = 11.9927 Å
α = 90.00°, β = 90.00°, γ = 120.00°
Space group R-3m (No. 166, hexagonal axes)
Unique sites:
Tm  0.0000  0.0000  0.1563 x6
Co  0.0000  0.2895  0.5000 x18
Co  0.0000  0.5000  0.0000 x9
Co  0.0030  0.5015  0.6513 x18
Cu  0.0000  0.0000  0.3980 x6

Material: TmCo4Cu
Method: DFT, GGA-PBE
State: optimized geometry

total energy	-6.25	eV/atom

a = 6.875 Å, b = 6.875 Å, c = 6.875 Å
α = 90.00°, β = 90.00°, γ = 90.00°
Space group F-43m (No. 216)
Unique sites:
Tm  0.000  0.000  0.000 x4
Co  0.124  0.124  0.376 x16
Cu  0.250  0.250  0.750 x4

Material: Tm4Co2Cu
Method: DFT, GGA-PBE
State: optimized geometry

excess energy over the best structure of this formula in the dataset	0.0	meV per atom
total energy	-5.38	eV/atom

a = 10.881 Å, b = 8.102 Å, c = 7.353 Å
α = 90.00°, β = 110.10°, γ = 90.00°
Space group Cm (No. 8)
Unique sites:
Tm  0.000  0.000  0.000 x2
Tm  0.002  0.000  0.517 x2
Tm  0.004  0.500  0.002 x2
Tm  0.010  0.500  0.521 x2
Tm  0.275  0.265  0.148 x4
Tm  0.287  0.264  0.650 x4
Co  0.068  0.249  0.793 x4
Co  0.218  0.500  0.874 x2
Co  0.221  0.500  0.366 x2
Cu  0.218  0.000  0.365 x2
Cu  0.218  0.000  0.871 x2

Material: Tm6Co5Cu
Method: DFT, GGA-PBE
State: optimized geometry

total energy	-5.77	eV/atom

a = 4.686 Å, b = 14.054 Å, c = 6.611 Å
α = 90.00°, β = 90.00°, γ = 90.00°
Space group Cmmm (No. 65)
Unique sites:
Tm  0.000  0.000  0.245 x4
Tm  0.000  0.331  0.248 x8
Co  0.000  0.166  0.000 x4
Co  0.000  0.166  0.500 x4
Co  0.000  0.500  0.000 x2
Cu  0.000  0.500  0.500 x2

Material: Tm2Co5Cu5
Method: DFT, GGA-PBE
State: optimized geometry

total energy	-5.53	eV/atom

a = 4.078 Å, b = 4.808 Å, c = 8.585 Å
α = 90.00°, β = 90.00°, γ = 90.00°
Space group Pmmm (No. 47)
Unique sites:
Tm  0.000  0.000  0.000 x1
Tm  0.000  0.500  0.500 x1
Co  0.500  0.000  0.500 x1
Co  0.500  0.253  0.258 x4
Cu  0.000  0.000  0.331 x2
Cu  0.000  0.500  0.172 x2
Cu  0.500  0.500  0.000 x1

Number 1: energy relative to the elements -0.018 eV per atom, total magnetic moment 0.0000 μB/atom. Number 2: energy relative to the elements -0.082 eV per atom, total magnetic moment 1.1328 μB/atom. Number 3: energy relative to the elements -0.087 eV per atom, total magnetic moment 0.9726 μB/atom. Number 4: energy relative to the elements -0.209 eV per atom, total magnetic moment 0.0000 μB/atom. Number 5: energy relative to the elements -0.234 eV per atom, total magnetic moment 0.1469 μB/atom. Number 6: energy relative to the elements -0.120 eV per atom, total magnetic moment 0.5067 μB/atom.